(1)
ZrNpOsPd, relaxed, DFT GGA-PBE; symmetry = F-43m; energy of formation = -0.728 eV/f.u.; density of states at the Fermi level = 8.040 states/eV/cell
1.0
0.0000 3.3773 3.3773
3.3773 0.0000 3.3773
3.3773 3.3773 0.0000
Zr Np Os Pd
1 1 1 1
Direct
0.0000 0.0000 0.0000
0.5000 0.5000 0.5000
0.2500 0.2500 0.2500
0.7500 0.7500 0.7500

(2)
PmNpOsPt, relaxed, DFT GGA-PBE; symmetry = F-43m; energy of formation = -0.919 eV/f.u.; density of states at the Fermi level = 6.925 states/eV/cell
1.0
0.0000 3.4819 3.4819
3.4819 0.0000 3.4819
3.4819 3.4819 0.0000
Pm Np Os Pt
1 1 1 1
Direct
0.0000 0.0000 0.0000
0.5000 0.5000 0.5000
0.7500 0.7500 0.7500
0.2500 0.2500 0.2500

(3)
Pr2NpOs, relaxed, DFT GGA-PBE; symmetry = R-3m; energy of formation = 3.022 eV/f.u.; density of states at the Fermi level = 10.731 states/eV/cell
1.0
1.7061 0.9850 10.9745
-1.7061 0.9850 10.9745
0.0000 -1.9700 10.9745
Pr Np Os
2 1 1
Direct
0.1012 0.1012 0.1012
0.8988 0.8988 0.8988
0.0000 0.0000 0.0000
0.5000 0.5000 0.5000